Record 1
# K2CuReTc PBE-GGA optimized geometry
# Size of the total moment   1.00 μB/f.u.
# Total energy   -20.48 eV per formula unit
# Formation energy   1725.6 meV per atom
data_K2CuReTc
_symmetry_space_group_name_H-M 'P 4/m m m'
_symmetry_Int_Tables_number 123
_symmetry_space_group_name_Hall '-P 4 2'
_cell_length_a 6.4022
_cell_length_b 6.4022
_cell_length_c 4.5653
_cell_angle_alpha 90.00
_cell_angle_beta 90.00
_cell_angle_gamma 90.00
loop_
_atom_site_label
_atom_site_type_symbol
_atom_site_fract_x
_atom_site_fract_y
_atom_site_fract_z
_atom_site_occupancy
K1 K 0.0000 0.5000 0.0000 1
Cu1 Cu 0.0000 0.0000 0.5000 1
Re1 Re 0.5000 0.5000 0.5000 1
Tc1 Tc 0.5000 0.5000 0.0000 1


Record 2
# K2TiCuRe PBE-GGA optimized geometry
# Size of the total moment   0.05 μB/f.u.
# Total energy   -16.70 eV per formula unit
# Formation energy   1987.2 meV per atom
data_K2TiCuRe
_symmetry_space_group_name_H-M 'P 4/m m m'
_symmetry_Int_Tables_number 123
_symmetry_space_group_name_Hall '-P 4 2'
_cell_length_a 6.3374
_cell_length_b 6.3374
_cell_length_c 4.7580
_cell_angle_alpha 90.00
_cell_angle_beta 90.00
_cell_angle_gamma 90.00
loop_
_atom_site_label
_atom_site_type_symbol
_atom_site_fract_x
_atom_site_fract_y
_atom_site_fract_z
_atom_site_occupancy
K1 K 0.0000 0.5000 0.0000 1
Ti1 Ti 0.0000 0.0000 0.5000 1
Cu1 Cu 0.5000 0.5000 0.5000 1
Re1 Re 0.5000 0.5000 0.0000 1


Record 3
# KCu2Rh PBE-GGA optimized geometry
# Size of the total moment   0.53 μB/f.u.
# Total energy   -14.54 eV per formula unit
# ΔE to the lowest computed polymorph   0.173 eV/atom
# Formation energy   525.6 meV per atom
data_KCu2Rh
_symmetry_space_group_name_H-M 'I m m 2'
_symmetry_Int_Tables_number 44
_symmetry_space_group_name_Hall 'I 2 -2'
_cell_length_a 2.6779
_cell_length_b 5.1337
_cell_length_c 10.2323
_cell_angle_alpha 90.00
_cell_angle_beta 90.00
_cell_angle_gamma 90.00
loop_
_atom_site_label
_atom_site_type_symbol
_atom_site_fract_x
_atom_site_fract_y
_atom_site_fract_z
_atom_site_occupancy
K1 K 0.0000 0.0000 0.0000 1
Cu1 Cu 0.0000 0.0000 0.5074 1
Cu2 Cu 0.0000 0.5000 0.2152 1
Rh1 Rh 0.0000 0.5000 0.7914 1


Record 4
# KCuRh2 PBE-GGA optimized geometry
# Size of the total moment   1.14 μB/f.u.
# Total energy   -16.01 eV per formula unit
# ΔE to the lowest computed polymorph   0.572 eV/atom
# Formation energy   971.5 meV per atom
data_KCuRh2
_symmetry_space_group_name_H-M 'F m -3 m'
_symmetry_Int_Tables_number 225
_symmetry_space_group_name_Hall '-F 4 2 3'
_cell_length_a 6.4843
_cell_length_b 6.4843
_cell_length_c 6.4843
_cell_angle_alpha 90.00
_cell_angle_beta 90.00
_cell_angle_gamma 90.00
loop_
_atom_site_label
_atom_site_type_symbol
_atom_site_fract_x
_atom_site_fract_y
_atom_site_fract_z
_atom_site_occupancy
K1 K 0.0000 0.0000 0.0000 1
Cu1 Cu 0.0000 0.0000 0.5000 1
Rh1 Rh 0.2500 0.2500 0.2500 1